{"formula": "Zr2HgC", "functional": "PBE", "state": "relaxed", "rho_g_cm3": 8.3, "volume_a3_per_atom": 19.8, "e_form_ev_per_atom": -0.054, "magmom_total_mub_per_fu": 0.0, "energy_ev_per_cell": -53.674, "cell": [[6.679, 0.000, 0.000], [0.000, 6.679, 0.000], [3.340, 3.340, 3.545]], "species": ["C", "C", "Hg", "Hg", "Zr", "Zr", "Zr", "Zr"], "frac_coords": [[0.500, 0.500, 0.000], [0.250, 0.750, 0.500], [0.000, 0.000, 0.000], [0.750, 0.250, 0.500], [0.539, 0.125, 0.250], [0.211, 0.625, 0.250], [0.375, 0.461, 0.750], [0.875, 0.789, 0.750]]}